(1)
Entry from Alexandria via LeMat-Bulk: a geometry-optimized Ac4TmSb5 structure (PBE-GGA).

Unit cell a=8.161 b=8.161 c=8.161 alpha=99.68 beta=99.68 gamma=131.57
Fractional positions:
Ac1 0.095 0.700 0.795
Ac2 0.300 0.095 0.395
Ac3 0.700 0.905 0.605
Ac4 0.905 0.300 0.205
Tm1 0.500 0.500 0.000
Sb1 0.000 0.000 0.000
Sb2 0.214 0.404 0.618
Sb3 0.404 0.786 0.190
Sb4 0.596 0.214 0.810
Sb5 0.786 0.596 0.382

* density: 7.5 g cm⁻³
* crystal system: tetragonal
* ΔE_f (raw): -1148.7 meV/atom


(2)
Entry from Alexandria via LeMat-Bulk: a geometry-optimized AgAs4Ir structure (PBE-GGA).

Unit cell a=5.436 b=5.436 c=5.436 alpha=60.00 beta=60.00 gamma=60.00
Fractional positions:
Ag1 0.000 0.000 0.000
As1 0.121 0.626 0.626
As2 0.626 0.121 0.626
As3 0.626 0.626 0.121
As4 0.626 0.626 0.626
Ir1 0.250 0.250 0.250

* density: 8.8 g cm⁻³
* crystal system: cubic
* E_form: 0.80 eV/atom


(3)
Entry from Alexandria via LeMat-Bulk: a geometry-optimized Co2PtPb structure (PBE-GGA).

Unit cell a=8.667 b=3.127 c=4.835 alpha=90.00 beta=103.07 gamma=90.00
Fractional positions:
Co1 0.000 0.000 0.000
Co2 0.222 0.500 0.172
Co3 0.500 0.500 0.000
Co4 0.722 0.000 0.172
Pt1 0.468 0.000 0.405
Pt2 0.968 0.500 0.405
Pb1 0.235 0.000 0.707
Pb2 0.735 0.500 0.707

* density: 13.5 g cm⁻³
* crystal system: monoclinic
* E_form: 0.28 eV/atom